(1)
6
Lattice="5.094 0.000 0.000 2.547 4.411 0.000 2.547 1.470 4.159" Properties=species:S:1:pos:R:3 comment="PBE TbErMn4, relaxed" sg="No. 216" n_ef_per_ev_atom=1.581 ef_mev_per_atom=134 total_energy_ev_per_atom=-7.51 pbc="T T T"
Mn 5.094 2.941 0.519
Mn 5.094 1.469 2.600
Mn 6.368 3.677 2.600
Mn 3.819 3.677 2.600
Tb 2.547 1.470 1.040
Er 0.000 0.000 0.000


(2)
5
Lattice="-2.382 -4.818 -0.457 4.087 -1.950 -0.748 0.591 -0.795 5.302" Properties=species:S:1:pos:R:3 comment="PBE Ca2ZrMnC, relaxed" sg="No. 123" n_ef_per_ev_atom=1.114 ef_mev_per_atom=1578 total_energy_ev_per_atom=-4.61 pbc="T T T"
Ca 0.296 -0.398 2.651
Ca -1.191 -2.409 -0.228
Mn 0.000 0.000 0.000
C 1.148 -3.782 2.049
Zr 2.044 -0.975 -0.374


(3)
21
Lattice="-3.053 -1.135 1.374 -5.958 -0.091 -13.315 6.711 -11.919 5.070" Properties=species:S:1:pos:R:3 comment="PBE Y2Ho12Tm7, relaxed" sg="No. 174" n_ef_per_ev_atom=1.905 ef_mev_per_atom=37 total_energy_ev_per_atom=-4.68 pbc="T T T"
Y -1.527 -0.567 0.687
Y -1.735 -4.034 -7.187
Ho -2.757 -7.691 -7.930
Ho -4.952 -2.156 -8.235
Ho -2.076 -3.956 -3.333
Ho 2.482 -10.557 1.346
Ho 0.000 -9.334 -3.159
Ho 0.401 -5.740 0.698
Ho 3.527 -7.118 1.960
Ho 3.096 -11.013 -2.215
Ho 0.840 -5.798 -2.921
Ho 0.272 -8.915 -6.758
Ho -4.263 -2.589 -11.610
Ho -1.215 -0.597 -3.192
Tm 2.488 -7.976 -1.059
Tm 5.187 -9.723 3.496
Tm 1.816 -11.418 -5.393
Tm 0.460 -2.788 -1.279
Tm -1.762 -6.774 -4.962
Tm -4.316 -5.170 -9.311
Tm -3.708 -1.859 -5.226


Copy entry 2 word for word.
5
Lattice="-2.382 -4.818 -0.457 4.087 -1.950 -0.748 0.591 -0.795 5.302" Properties=species:S:1:pos:R:3 comment="PBE Ca2ZrMnC, relaxed" sg="No. 123" n_ef_per_ev_atom=1.114 ef_mev_per_atom=1578 total_energy_ev_per_atom=-4.61 pbc="T T T"
Ca 0.296 -0.398 2.651
Ca -1.191 -2.409 -0.228
Mn 0.000 0.000 0.000
C 1.148 -3.782 2.049
Zr 2.044 -0.975 -0.374